Compound: Tm6Sc2Tc
Source: the Alexandria database
Functional: PBE
Structure: relaxed

Summary:
- Mass density: 8.22 Mg/m³
- Calculated volume: 242.6 Å³/f.u.
- Total magnetization: 0.000 μB/f.u.
- Energy: -98.68 eV/cell
- SG: C2/c (15)

Structure (extended XYZ):
```
18
Lattice="9.200 -4.794 0.000 9.200 4.794 0.000 -0.747 0.000 5.501" Properties=species:S:1:pos:R:3 pbc="T T T"
Tm 7.506 3.910 2.855
Tm 6.329 2.395 0.138
Tm 9.773 3.910 5.396
Tm 7.346 0.747 3.173
Tm 11.698 2.395 2.612
Tm 9.934 0.747 5.078
Tm 7.719 -0.747 0.423
Tm 5.955 -2.395 2.889
Tm 10.307 -0.747 2.328
Tm 7.879 -3.910 0.105
Tm 11.324 -2.395 5.363
Tm 10.147 -3.910 2.646
Sc 4.165 0.798 2.703
Sc 3.791 -0.798 5.453
Sc 13.862 0.798 0.048
Sc 13.488 -0.798 2.798
Tc 9.013 1.907 1.375
Tc 8.640 -1.907 4.126
```

Compound: TmSc3Tc
Source: the Alexandria database
Functional: PBE
Structure: relaxed

Summary:
- Mass density: 5.58 Mg/m³
- Calculated volume: 119.6 Å³/f.u.
- Total magnetization: 0.000 μB/f.u.
- Energy: -68.25 eV/cell
- SG: Pmmn (59)

Structure (extended XYZ):
```
10
Lattice="4.195 0.000 0.000 0.000 8.003 0.000 0.000 0.000 7.122" Properties=species:S:1:pos:R:3 pbc="T T T"
Tm 1.049 2.001 0.359
Tm 3.146 6.002 6.762
Sc 1.049 4.415 4.809
Sc 1.049 6.002 2.103
Sc 1.049 7.590 4.809
Sc 3.146 0.413 2.313
Sc 3.146 2.001 5.019
Sc 3.146 3.589 2.313
Tc 1.049 2.001 3.306
Tc 3.146 6.002 3.816
```

Compound: Tm4ScTc
Source: the Alexandria database
Functional: PBE
Structure: relaxed

Summary:
- Mass density: 8.74 Mg/m³
- Calculated volume: 155.5 Å³/f.u.
- Total magnetization: 0.000 μB/f.u.
- Energy: -34.64 eV/cell
- SG: P4/mmm (123)

Structure (extended XYZ):
```
6
Lattice="3.437 0.000 0.000 0.000 3.437 0.000 0.000 0.000 13.168" Properties=species:S:1:pos:R:3 pbc="T T T"
Tm 0.000 0.000 1.605
Tm 0.000 0.000 11.563
Tm 1.718 1.718 4.317
Tm 1.718 1.718 8.851
Sc 0.000 0.000 6.584
Tc 1.718 1.718 0.000
```

Compound: TmSc3Tc
Source: the Alexandria database
Functional: PBE
Structure: relaxed

Summary:
- Mass density: 5.17 Mg/m³
- Calculated volume: 129.0 Å³/f.u.
- Total magnetization: 0.000 μB/f.u.
- Energy: -33.49 eV/cell
- SG: Pm-3m (221)

Structure (extended XYZ):
```
5
Lattice="5.052 0.000 0.000 0.000 5.052 0.000 0.000 0.000 5.052" Properties=species:S:1:pos:R:3 pbc="T T T"
Tm 0.000 0.000 0.000
Sc 0.000 2.526 2.526
Sc 2.526 0.000 2.526
Sc 2.526 2.526 0.000
Tc 2.526 2.526 2.526
```

Compound: Tm2Sc2Tc
Source: the Alexandria database
Functional: PBE
Structure: relaxed

Summary:
- Mass density: 7.13 Mg/m³
- Calculated volume: 122.4 Å³/f.u.
- Total magnetization: 0.000 μB/f.u.
- Energy: -64.65 eV/cell
- SG: C2/c (15)

Structure (extended XYZ):
```
10
Lattice="5.925 -3.189 0.000 5.925 3.189 0.000 -1.976 0.000 6.479" Properties=species:S:1:pos:R:3 pbc="T T T"
Tm 1.494 0.565 0.759
Tm 0.506 -0.565 3.998
Tm 9.367 0.565 2.481
Tm 8.379 -0.565 5.720
Sc 3.591 0.618 3.363
Sc 4.579 -0.618 0.124
Sc 5.294 0.618 6.355
Sc 6.282 -0.618 3.116
Tc 5.431 1.555 1.620
Tc 4.443 -1.555 4.859
```

Compound: Tm3ScTc
Source: the Alexandria database
Functional: PBE
Structure: relaxed

Summary:
- Mass density: 8.28 Mg/m³
- Calculated volume: 130.2 Å³/f.u.
- Total magnetization: 0.000 μB/f.u.
- Energy: -60.69 eV/cell
- SG: Pmmn (59)

Structure (extended XYZ):
```
10
Lattice="4.211 0.000 0.000 0.000 8.632 0.000 0.000 0.000 7.166" Properties=species:S:1:pos:R:3 pbc="T T T"
Tm 1.053 0.404 1.342
Tm 1.053 3.912 1.342
Tm 1.053 6.474 3.904
Tm 3.158 2.158 3.262
Tm 3.158 4.720 5.824
Tm 3.158 8.228 5.824
Sc 1.053 2.158 5.740
Sc 3.158 6.474 1.426
Tc 1.053 6.474 6.907
Tc 3.158 2.158 0.259
```

Compound: Tm4ScTc2
Source: the Alexandria database
Functional: PBE
Structure: relaxed

Summary:
- Mass density: 9.05 Mg/m³
- Calculated volume: 168.2 Å³/f.u.
- Total magnetization: 0.000 μB/f.u.
- Energy: -90.49 eV/cell
- SG: P2_1/m (11)

Structure (extended XYZ):
```
14
Lattice="7.641 0.000 0.000 0.000 6.155 0.000 -2.901 0.000 7.151" Properties=species:S:1:pos:R:3 pbc="T T T"
Tm -0.929 1.539 2.773
Tm 0.877 4.616 2.287
Tm 0.965 0.011 5.456
Tm 0.965 3.066 5.456
Tm 3.775 3.089 1.695
Tm 3.775 6.144 1.695
Tm 3.862 1.539 4.864
Tm 5.669 4.616 4.378
Sc 1.100 1.539 0.309
Sc 3.640 4.616 6.842
Tc -0.990 4.616 6.929
Tc 1.725 1.539 3.015
Tc 3.015 4.616 4.136
Tc 5.730 1.539 0.222
```

Compound: Tm2Sc3Tc2
Source: the Alexandria database
Functional: PBE
Structure: relaxed

Summary:
- Mass density: 7.08 Mg/m³
- Calculated volume: 156.8 Å³/f.u.
- Total magnetization: 0.000 μB/f.u.
- Energy: -49.87 eV/cell
- SG: C2/m (12)

Structure (extended XYZ):
```
7
Lattice="5.301 -2.018 0.000 5.301 2.018 0.000 -2.939 0.000 7.327" Properties=species:S:1:pos:R:3 pbc="T T T"
Tm 0.744 0.000 2.241
Tm 6.920 0.000 5.086
Sc 3.707 0.000 0.527
Sc 3.832 0.000 3.663
Sc 3.956 0.000 6.800
Tc -0.450 0.000 5.204
Tc 8.113 0.000 2.123
```